A geometry-optimized NaHgAu10 structure, computed with GGA-PBE.

## Properties
SG: Pmmm (47)
ΔH_f (0 K) in eV per atom: -0.073
Total moment in Bohr magnetons per cell: 0.00

Lattice parameters (Å, degrees): 4.664 5.608 9.685 90.00 90.00 90.00
Atoms (fractional coordinates):
Na: 0.000 0.000 0.000
Hg: 0.000 0.500 0.500
Au: 0.000 0.000 0.335
Au: 0.000 0.000 0.665
Au: 0.000 0.500 0.172
Au: 0.000 0.500 0.828
Au: 0.500 0.000 0.500
Au: 0.500 0.247 0.247
Au: 0.500 0.247 0.753
Au: 0.500 0.500 0.000
Au: 0.500 0.753 0.247
Au: 0.500 0.753 0.753

A geometry-optimized Dy4Y6Zr structure, computed with GGA-PBE.

## Properties
SG: P4/mnc (128)
ΔH_f (0 K) in eV per atom: 0.146
Total moment in Bohr magnetons per cell: 2.68

Lattice parameters (Å, degrees): 8.791 8.791 8.868 90.00 90.00 90.00
Atoms (fractional coordinates):
Dy: 0.145 0.355 0.250
Dy: 0.145 0.355 0.750
Dy: 0.355 0.855 0.250
Dy: 0.355 0.855 0.750
Dy: 0.645 0.145 0.250
Dy: 0.645 0.145 0.750
Dy: 0.855 0.645 0.250
Dy: 0.855 0.645 0.750
Y: 0.000 0.000 0.176
Y: 0.000 0.000 0.824
Y: 0.151 0.657 0.500
Y: 0.157 0.651 0.000
Y: 0.343 0.151 0.500
Y: 0.349 0.157 0.000
Y: 0.500 0.500 0.324
Y: 0.500 0.500 0.676
Y: 0.651 0.843 0.000
Y: 0.657 0.849 0.500
Y: 0.843 0.349 0.000
Y: 0.849 0.343 0.500
Zr: 0.000 0.000 0.500
Zr: 0.500 0.500 0.000

A geometry-optimized Sm2Ga3Cu structure, computed with GGA-PBE.

## Properties
SG: Fmmm (69)
ΔH_f (0 K) in eV per atom: -0.587
Total moment in Bohr magnetons per cell: 0.00

Lattice parameters (Å, degrees): 8.798 8.509 5.804 73.12 67.74 39.14
Atoms (fractional coordinates):
Sm: 0.243 0.757 0.757
Sm: 0.250 0.250 0.250
Sm: 0.750 0.750 0.750
Sm: 0.757 0.243 0.243
Ga: 0.163 0.667 0.333
Ga: 0.332 0.332 0.668
Ga: 0.333 0.837 0.163
Ga: 0.667 0.163 0.837
Ga: 0.668 0.668 0.332
Ga: 0.837 0.333 0.667
Cu: 0.168 0.168 0.832
Cu: 0.832 0.832 0.168

A geometry-optimized Nd2Hg3Au3 structure, computed with GGA-PBE.

## Properties
SG: R3m (160)
ΔH_f (0 K) in eV per atom: -0.524
Total moment in Bohr magnetons per cell: 0.00

Lattice parameters (Å, degrees): 8.747 8.747 8.747 33.96 33.96 33.96
Atoms (fractional coordinates):
Nd: 0.000 0.000 0.000
Nd: 0.492 0.492 0.492
Hg: 0.243 0.243 0.243
Hg: 0.621 0.621 0.621
Hg: 0.749 0.749 0.749
Au: 0.123 0.123 0.123
Au: 0.367 0.367 0.367
Au: 0.873 0.873 0.873

A geometry-optimized ZnHPb2S structure, computed with GGA-PBE.

## Properties
SG: P4/mmm (123)
VASP energy in eV/atom: -3.027
Total moment in Bohr magnetons per cell: 0.00

Lattice parameters (Å, degrees): 5.521 5.521 3.384 90.00 90.00 90.00
Atoms (fractional coordinates):
Zn: 0.000 0.000 0.000
H: 0.500 0.500 0.500
Pb: 0.000 0.500 0.500
Pb: 0.500 0.000 0.500
S: 0.500 0.500 0.000

A geometry-optimized LaRu3F structure, computed with GGA-PBE.

## Properties
SG: Pm-3m (221)
Formation energy from raw total energies in eV per atom: 0.510
Total moment in Bohr magnetons per cell: 0.00

Lattice parameters (Å, degrees): 4.404 4.404 4.404 90.00 90.00 90.00
Atoms (fractional coordinates):
La: 0.000 0.000 0.000
Ru: 0.000 0.500 0.500
Ru: 0.500 0.000 0.500
Ru: 0.500 0.500 0.000
F: 0.500 0.500 0.500